A plane-wave DFT calculation with PBE was carried out for SbPdCI2 after structural relaxation.

a = 5.0975 Å, b = 5.0975 Å, c = 4.6205 Å
α = 90.00°, β = 90.00°, γ = 90.00°
With the nearest neighbours (Å) after each atom.
Sites, in units of the cell vectors:
I (0.0000, 0.5000, 0.0000)  2 C 2.55
I (0.5000, 0.0000, 0.0000)  2 C 2.55
Sb (0.0000, 0.0000, 0.5000)  2 C 2.31
C (0.0000, 0.0000, 0.0000)  2 Sb 2.31, 4 I 2.55
Pd (0.5000, 0.5000, 0.5000)  8 I 3.44, 4 Sb 3.60

## Properties
The total energy is -15.4 eV per cell. The calculation puts the polymorph energy (0 for the lowest one) at 0.0 meV per atom. Its space group is No. 123. The density of states at the Fermi level comes out at 3.0 states/eV per cell.


A plane-wave DFT calculation with PBE was carried out for TaIrPt after structural relaxation.

a = 6.2609 Å, b = 6.2609 Å, c = 2.8439 Å
α = 76.87°, β = 76.87°, γ = 26.25°
With the nearest neighbours (Å) after each atom.
Sites, in units of the cell vectors:
Ir (0.0061, 0.0061, 0.9939)  4 Ta 2.74, 4 Ir 2.84, 4 Pt 2.90
Pt (0.3305, 0.3305, 0.6695)  4 Ta 2.82, 4 Pt 2.84, 4 Ir 2.90
Ta (0.6634, 0.6634, 0.3366)  4 Ir 2.74, 4 Pt 2.82, 4 Ta 2.84

## Properties
Its energy of formation is -0.4793 eV per atom. The total energy is -28.2 eV per cell. The calculation puts the polymorph energy (0 for the lowest one) at 113.3 meV per atom. Its space group is No. 107. The density of states at the Fermi level comes out at 2.1 states/eV per cell.


A plane-wave DFT calculation with PBE was carried out for Eu2HgAs after structural relaxation.

a = 3.8469 Å, b = 3.8469 Å, c = 7.4008 Å
α = 90.00°, β = 90.00°, γ = 90.00°
With the nearest neighbours (Å) after each atom.
Sites, in units of the cell vectors:
Eu (0.0000, 0.0000, 0.7793)  4 As 3.17, 1 Eu 3.27, 4 Hg 3.42
Eu (0.0000, 0.0000, 0.2207)  4 As 3.17, 1 Eu 3.27, 4 Hg 3.42
As (0.5000, 0.5000, 0.0000)  8 Eu 3.17
Hg (0.5000, 0.5000, 0.5000)  8 Eu 3.42, 2 As 3.70

## Properties
Its energy of formation is -0.8499 eV per atom. The total energy is -28.9 eV per cell. The calculation puts the polymorph energy (0 for the lowest one) at 0.0 meV per atom. Its space group is No. 123. The density of states at the Fermi level comes out at 9.1 states/eV per cell.


A plane-wave DFT calculation with PBE was carried out for TaCoIr after structural relaxation.

a = 4.2706 Å, b = 4.2706 Å, c = 5.3656 Å
α = 90.00°, β = 90.00°, γ = 120.00°
With the nearest neighbours (Å) after each atom.
Sites, in units of the cell vectors:
Ir (0.0000, 0.0000, 0.0000)  2 Ir 2.68, 6 Co 2.81, 6 Ta 2.81
Ir (0.0000, 0.0000, 0.5000)  2 Ir 2.68, 6 Ta 2.81, 6 Co 2.81
Co (0.3333, 0.6667, 0.2500)  5 Ta 2.47-2.68
Co (0.6667, 0.3333, 0.7500)  5 Ta 2.47-2.68
Ta (0.3333, 0.6667, 0.7500)  5 Co 2.47-2.68
Ta (0.6667, 0.3333, 0.2500)  5 Co 2.47-2.68

## Properties
Its energy of formation is -0.4700 eV per atom. The total energy is -58.5 eV per cell. The calculation puts the polymorph energy (0 for the lowest one) at 0.0 meV per atom. Its space group is No. 194. The density of states at the Fermi level comes out at 4.6 states/eV per cell.


Please write out number 3 again, unchanged.
A plane-wave DFT calculation with PBE was carried out for Eu2HgAs after structural relaxation.

a = 3.8469 Å, b = 3.8469 Å, c = 7.4008 Å
α = 90.00°, β = 90.00°, γ = 90.00°
With the nearest neighbours (Å) after each atom.
Sites, in units of the cell vectors:
Eu (0.0000, 0.0000, 0.7793)  4 As 3.17, 1 Eu 3.27, 4 Hg 3.42
Eu (0.0000, 0.0000, 0.2207)  4 As 3.17, 1 Eu 3.27, 4 Hg 3.42
As (0.5000, 0.5000, 0.0000)  8 Eu 3.17
Hg (0.5000, 0.5000, 0.5000)  8 Eu 3.42, 2 As 3.70

## Properties
Its energy of formation is -0.8499 eV per atom. The total energy is -28.9 eV per cell. The calculation puts the polymorph energy (0 for the lowest one) at 0.0 meV per atom. Its space group is No. 123. The density of states at the Fermi level comes out at 9.1 states/eV per cell.